(1)
Below is a relaxed GdFeSi2Au crystal, with properties calculated at the PBE level.

Lattice parameters (Å, degrees): 5.8231 5.8231 5.8231 138.64 138.64 59.92
Element x y z (fractional)
1 Gd 0.0000 0.0000 0.0000
2 Fe 0.7500 0.2500 0.5000
3 Si 0.3826 0.3826 0.0000
4 Si 0.6174 0.6174 0.0000
5 Au 0.2500 0.7500 0.5000

Computed properties:
VASP energy	-5.983	eV/atom
M_tot	1.85	μB/f.u.
space group	I-4m2, No. 119

(2)
Below is a relaxed NbSiIr crystal, with properties calculated at the PBE level.

Lattice parameters (Å, degrees): 5.0265 4.0503 9.3828 90.00 90.00 90.00
Element x y z (fractional)
1 Nb 0.2189 0.2500 0.1689
2 Nb 0.2811 0.7500 0.6689
3 Nb 0.7189 0.2500 0.3311
4 Nb 0.7811 0.7500 0.8311
5 Si 0.1279 0.2500 0.8649
6 Si 0.3721 0.7500 0.3649
7 Si 0.6279 0.2500 0.6351
8 Si 0.8721 0.7500 0.1351
9 Ir 0.1850 0.2500 0.4717
10 Ir 0.3150 0.7500 0.9717
11 Ir 0.6850 0.2500 0.0283
12 Ir 0.8150 0.7500 0.5283

Computed properties:
VASP energy	-8.543	eV/atom
M_tot	0.00	μB/f.u.
space group	Pnma, No. 62

(3)
Below is a relaxed SrAgB2 crystal, with properties calculated at the PBE level.

Lattice parameters (Å, degrees): 4.5849 4.5849 4.5849 60.00 60.00 60.00
Element x y z (fractional)
1 Sr 0.0000 0.0000 0.0000
2 Ag 0.2500 0.2500 0.2500
3 B 0.5000 0.5000 0.5000
4 B 0.7500 0.7500 0.7500

Computed properties:
VASP energy	-3.091	eV/atom
space group	F-43m, No. 216

(4)
Below is a relaxed PrNdCBr crystal, with properties calculated at the PBE level.

Lattice parameters (Å, degrees): 3.8270 3.8270 14.9905 90.00 90.00 120.00
Element x y z (fractional)
1 Pr 0.3333 0.6667 0.0927
2 Pr 0.6667 0.3333 0.9073
3 Nd 0.3333 0.6667 0.4088
4 Nd 0.6667 0.3333 0.5912
5 C 0.0000 0.0000 0.0000
6 C 0.0000 0.0000 0.5000
7 Br 0.3333 0.6667 0.7472
8 Br 0.6667 0.3333 0.2528

Computed properties:
VASP energy	-5.988	eV/atom
M_tot	0.00	μB/f.u.
space group	P-3m1, No. 164

(5)
Below is a relaxed Nb3GeTe6 crystal, with properties calculated at the PBE level.

Lattice parameters (Å, degrees): 6.5257 14.4772 11.6905 90.00 90.00 90.00
Element x y z (fractional)
1 Nb 0.0368 0.2500 0.1858
2 Nb 0.1742 0.7500 0.3335
3 Nb 0.1976 0.7500 0.0324
4 Nb 0.3024 0.2500 0.5324
5 Nb 0.3258 0.2500 0.8335
6 Nb 0.4632 0.7500 0.6858
7 Nb 0.5368 0.2500 0.3142
8 Nb 0.6742 0.7500 0.1665
9 Nb 0.6976 0.7500 0.4676
10 Nb 0.8024 0.2500 0.9676
11 Nb 0.8258 0.2500 0.6665
12 Nb 0.9632 0.7500 0.8142
13 Ge 0.0747 0.7500 0.5750
14 Ge 0.4253 0.2500 0.0750
15 Ge 0.5747 0.7500 0.9250
16 Ge 0.9253 0.2500 0.4250
17 Te 0.1347 0.1232 0.9933
18 Te 0.1347 0.3768 0.9933
19 Te 0.1450 0.1192 0.6822
20 Te 0.1450 0.3808 0.6822
21 Te 0.2159 0.1199 0.3407
22 Te 0.2159 0.3801 0.3407
23 Te 0.2841 0.6199 0.8407
24 Te 0.2841 0.8801 0.8407
25 Te 0.3550 0.6192 0.1822
26 Te 0.3550 0.8808 0.1822
27 Te 0.3653 0.6232 0.4933
28 Te 0.3653 0.8768 0.4933
29 Te 0.6347 0.1232 0.5067
30 Te 0.6347 0.3768 0.5067
31 Te 0.6450 0.1192 0.8178
32 Te 0.6450 0.3808 0.8178
33 Te 0.7159 0.1199 0.1593
34 Te 0.7159 0.3801 0.1593
35 Te 0.7841 0.6199 0.6593
36 Te 0.7841 0.8801 0.6593
37 Te 0.8550 0.6192 0.3178
38 Te 0.8550 0.8808 0.3178
39 Te 0.8653 0.6232 0.0067
40 Te 0.8653 0.8768 0.0067

Computed properties:
VASP energy	-5.848	eV/atom
M_tot	0.06	μB/f.u.
space group	Pnma, No. 62

(6)
Below is a relaxed LiCu2Sn crystal, with properties calculated at the PBE level.

Lattice parameters (Å, degrees): 6.1757 6.1757 6.1757 90.00 90.00 90.00
Element x y z (fractional)
1 Li 0.0000 0.0000 0.0000
2 Li 0.0000 0.0000 0.5000
3 Li 0.0000 0.5000 0.0000
4 Li 0.5000 0.0000 0.0000
5 Cu 0.2245 0.2245 0.2245
6 Cu 0.2245 0.2245 0.7755
7 Cu 0.2245 0.7755 0.2245
8 Cu 0.2245 0.7755 0.7755
9 Cu 0.7755 0.2245 0.2245
10 Cu 0.7755 0.2245 0.7755
11 Cu 0.7755 0.7755 0.2245
12 Cu 0.7755 0.7755 0.7755
13 Sn 0.0000 0.5000 0.5000
14 Sn 0.5000 0.0000 0.5000
15 Sn 0.5000 0.5000 0.0000
16 Sn 0.5000 0.5000 0.5000

Computed properties:
VASP energy	-3.379	eV/atom
space group	Pm-3m, No. 221

(7)
Below is a relaxed LiMgSbPt crystal, with properties calculated at the PBE level.

Lattice parameters (Å, degrees): 4.6102 4.6102 4.6102 60.00 60.00 60.00
Element x y z (fractional)
1 Li 0.0000 0.0000 0.0000
2 Mg 0.2500 0.2500 0.2500
3 Sb 0.7500 0.7500 0.7500
4 Pt 0.5000 0.5000 0.5000

Computed properties:
VASP energy	-4.021	eV/atom
M_tot	0.00	μB/f.u.
distance to the lowest polymorph of the same formula	0	meV/atom
space group	F-43m, No. 216

(8)
Below is a relaxed Hf2NbHg crystal, with properties calculated at the PBE level.

Lattice parameters (Å, degrees): 4.8427 4.8427 4.8427 60.00 60.00 60.00
Element x y z (fractional)
1 Hf 0.0000 0.0000 0.0000
2 Hf 0.2500 0.2500 0.2500
3 Nb 0.5000 0.5000 0.5000
4 Hg 0.7500 0.7500 0.7500

Computed properties:
VASP energy	-7.352	eV/atom
M_tot	0.08	μB/f.u.
space group	F-43m, No. 216

(9)
Below is a relaxed Hf2Ag3Hg crystal, with properties calculated at the PBE level.

Lattice parameters (Å, degrees): 3.5498 3.5498 9.1018 90.00 90.00 90.00
Element x y z (fractional)
1 Hf 0.0000 0.0000 0.0000
2 Hf 0.5000 0.5000 0.4884
3 Ag 0.0000 0.0000 0.3227
4 Ag 0.0000 0.0000 0.6573
5 Ag 0.5000 0.5000 0.1702
6 Hg 0.5000 0.5000 0.8233

Computed properties:
VASP energy	-4.719	eV/atom
M_tot	0.02	μB/f.u.
space group	P4mm, No. 99

(10)
Below is a relaxed YCoSi crystal, with properties calculated at the PBE level.

Lattice parameters (Å, degrees): 6.6621 6.6621 3.8054 90.00 90.00 120.00
Element x y z (fractional)
1 Y 0.0000 0.5812 0.0000
2 Y 0.4188 0.4188 0.0000
3 Y 0.5812 0.0000 0.0000
4 Co 0.0000 0.0000 0.0000
5 Co 0.3333 0.6667 0.5000
6 Co 0.6667 0.3333 0.5000
7 Si 0.0000 0.2346 0.5000
8 Si 0.2346 0.0000 0.5000
9 Si 0.7654 0.7654 0.5000

Computed properties:
VASP energy	-6.912	eV/atom
M_tot	0.00	μB/f.u.
space group	P-62m, No. 189

(11)
Below is a relaxed CsNdSeO crystal, with properties calculated at the PBE level.

Lattice parameters (Å, degrees): 3.9643 3.9643 15.5220 90.00 90.00 120.00
Element x y z (fractional)
1 Cs 0.0000 0.0000 0.0000
2 Cs 0.3333 0.6667 0.5000
3 Nd 0.6667 0.3333 0.2869
4 Nd 0.6667 0.3333 0.7131
5 Se 0.3333 0.6667 0.1707
6 Se 0.3333 0.6667 0.8293
7 O 0.0000 0.0000 0.3544
8 O 0.0000 0.0000 0.6456

Computed properties:
VASP energy	-5.509	eV/atom
M_tot	0.00	μB/f.u.
distance to the lowest polymorph of the same formula	163	meV/atom
space group	P-6m2, No. 187

(12)
Below is a relaxed UCoAs2 crystal, with properties calculated at the PBE level.

Lattice parameters (Å, degrees): 3.9483 3.9483 8.8389 90.00 90.00 90.00
Element x y z (fractional)
1 U 0.2500 0.2500 0.2476
2 U 0.7500 0.7500 0.7524
3 Co 0.2500 0.7500 0.0000
4 Co 0.7500 0.2500 0.0000
5 As 0.2500 0.2500 0.8367
6 As 0.2500 0.7500 0.5000
7 As 0.7500 0.2500 0.5000
8 As 0.7500 0.7500 0.1633

Computed properties:
VASP energy	-7.492	eV/atom
M_tot	0.27	μB/f.u.
space group	P4/nmm, No. 129

(13)
Below is a relaxed NaTaSnOs crystal, with properties calculated at the PBE level.

Lattice parameters (Å, degrees): 4.6556 4.6556 4.6556 60.00 60.00 60.00
Element x y z (fractional)
1 Na 0.0000 0.0000 0.0000
2 Ta 0.5000 0.5000 0.5000
3 Sn 0.7500 0.7500 0.7500
4 Os 0.2500 0.2500 0.2500

Computed properties:
VASP energy	-6.702	eV/atom
M_tot	0.00	μB/f.u.
distance to the lowest polymorph of the same formula	271	meV/atom
space group	F-43m, No. 216

(14)
Below is a relaxed Rb3AgP crystal, with properties calculated at the PBE level.

Lattice parameters (Å, degrees): 5.1965 6.6186 7.4418 64.40 69.88 68.76
Element x y z (fractional)
1 Rb 0.0000 0.0000 0.0000
2 Rb 0.1924 0.3327 0.2752
3 Rb 0.8067 0.7693 0.6230
4 Ag 0.4935 0.3817 0.6252
5 P 0.4903 0.7111 0.3068

Computed properties:
VASP energy	-2.295	eV/atom
space group	P1, No. 1

(15)
Below is a relaxed Ag2PbS2 crystal, with properties calculated at the PBE level.

Lattice parameters (Å, degrees): 4.2220 8.1935 7.1558 90.00 114.37 90.00
Element x y z (fractional)
1 Ag 0.1402 0.1491 0.4573
2 Ag 0.1402 0.3509 0.9573
3 Ag 0.8598 0.6491 0.0427
4 Ag 0.8598 0.8509 0.5427
5 Pb 0.5000 0.0000 0.0000
6 Pb 0.5000 0.5000 0.5000
7 S 0.2125 0.6342 0.7877
8 S 0.2125 0.8658 0.2877
9 S 0.7875 0.1342 0.7123
10 S 0.7875 0.3658 0.2123

Computed properties:
VASP energy	-3.696	eV/atom
distance to the lowest polymorph of the same formula	45	meV/atom
space group	P2_1/c, No. 14

(16)
Below is a relaxed DyY2In3Ni3 crystal, with properties calculated at the PBE level.

Lattice parameters (Å, degrees): 3.7910 7.4410 7.4410 119.77 90.00 90.00
Element x y z (fractional)
1 Dy 0.0000 0.0000 0.0000
2 Y 0.0000 0.1786 0.5890
3 Y 0.0000 0.5890 0.1786
4 In 0.5000 0.3350 0.3350
5 In 0.5000 0.5892 0.8430
6 In 0.5000 0.8430 0.5892
7 Ni 0.0000 0.5898 0.5898
8 Ni 0.5000 0.2541 0.9228
9 Ni 0.5000 0.9228 0.2541

Computed properties:
VASP energy	-5.232	eV/atom
M_tot	0.00	μB/f.u.
space group	Amm2, No. 38

(17)
Below is a relaxed ZrHPt crystal, with properties calculated at the PBE level.

Lattice parameters (Å, degrees): 3.4933 3.4933 6.6134 90.00 90.00 90.00
Element x y z (fractional)
1 Zr 0.2500 0.2500 0.1835
2 Zr 0.7500 0.7500 0.8165
3 H 0.2500 0.7500 0.0000
4 H 0.7500 0.2500 0.0000
5 Pt 0.2500 0.2500 0.6183
6 Pt 0.7500 0.7500 0.3817

Computed properties:
VASP energy	-6.810	eV/atom
M_tot	0.00	μB/f.u.
space group	P4/nmm, No. 129

(18)
Below is a relaxed NbCdCu crystal, with properties calculated at the PBE level.

Lattice parameters (Å, degrees): 4.3449 4.3449 4.3449 60.00 60.00 60.00
Element x y z (fractional)
1 Nb 0.0000 0.0000 0.0000
2 Cd 0.7500 0.7500 0.7500
3 Cu 0.5000 0.5000 0.5000

Computed properties:
VASP energy	-4.016	eV/atom
M_tot	0.00	μB/f.u.
distance to the lowest polymorph of the same formula	0	meV/atom
space group	F-43m, No. 216

(19)
Below is a relaxed PrNbSn crystal, with properties calculated at the PBE level.

Lattice parameters (Å, degrees): 5.1402 5.1402 5.1402 60.00 60.00 60.00
Element x y z (fractional)
1 Pr 0.0000 0.0000 0.0000
2 Nb 0.7500 0.7500 0.7500
3 Sn 0.2500 0.2500 0.2500

Computed properties:
VASP energy	-5.440	eV/atom
M_tot	3.70	μB/f.u.
distance to the lowest polymorph of the same formula	596	meV/atom
space group	F-43m, No. 216

(20)
Below is a relaxed La2InSnPt4 crystal, with properties calculated at the PBE level.

Lattice parameters (Å, degrees): 4.6611 4.6611 9.4388 90.00 90.00 120.00
Element x y z (fractional)
1 La 0.3333 0.6667 0.2502
2 La 0.6667 0.3333 0.7498
3 In 0.0000 0.0000 0.5000
4 Sn 0.0000 0.0000 0.0000
5 Pt 0.3333 0.6667 0.5858
6 Pt 0.3333 0.6667 0.9141
7 Pt 0.6667 0.3333 0.0859
8 Pt 0.6667 0.3333 0.4142

Computed properties:
VASP energy	-6.043	eV/atom
M_tot	0.00	μB/f.u.
space group	P-3m1, No. 164

(21)
Below is a relaxed Be2HgPb crystal, with properties calculated at the PBE level.

Lattice parameters (Å, degrees): 4.8163 4.8163 4.8163 60.00 60.00 60.00
Element x y z (fractional)
1 Be 0.0000 0.0000 0.0000
2 Be 0.2500 0.2500 0.2500
3 Hg 0.7500 0.7500 0.7500
4 Pb 0.5000 0.5000 0.5000

Computed properties:
VASP energy	-1.944	eV/atom
space group	F-43m, No. 216

(22)
Below is a relaxed TmReW crystal, with properties calculated at the PBE level.

Lattice parameters (Å, degrees): 4.4781 4.4781 4.4781 60.00 60.00 60.00
Element x y z (fractional)
1 Tm 0.0000 0.0000 0.0000
2 Re 0.7500 0.7500 0.7500
3 W 0.2500 0.2500 0.2500

Computed properties:
VASP energy	-7.974	eV/atom
M_tot	0.27	μB/f.u.
distance to the lowest polymorph of the same formula	1259	meV/atom
space group	F-43m, No. 216

(23)
Below is a relaxed Ho3AsSe2 crystal, with properties calculated at the PBE level.

Lattice parameters (Å, degrees): 7.0622 7.0622 7.0622 146.62 132.11 59.63
Element x y z (fractional)
1 Ho 0.0000 0.0000 0.0000
2 Ho 0.3409 0.3409 0.0000
3 Ho 0.6591 0.6591 0.0000
4 As 0.5000 0.0000 0.5000
5 Se 0.1687 0.6687 0.5000
6 Se 0.8313 0.3313 0.5000

Computed properties:
VASP energy	-5.937	eV/atom
M_tot	0.01	μB/f.u.
distance to the lowest polymorph of the same formula	0	meV/atom
space group	Immm, No. 71

(24)
Below is a relaxed NdBiAsO crystal, with properties calculated at the PBE level.

Lattice parameters (Å, degrees): 4.9025 4.9025 7.6491 90.00 90.00 90.00
Element x y z (fractional)
1 Nd 0.2500 0.7500 0.0000
2 Nd 0.7500 0.2500 0.0000
3 Bi 0.2500 0.2500 0.4263
4 Bi 0.7500 0.7500 0.5737
5 As 0.2500 0.2500 0.7968
6 As 0.7500 0.7500 0.2032
7 O 0.2500 0.7500 0.5000
8 O 0.7500 0.2500 0.5000

Computed properties:
VASP energy	-5.310	eV/atom
M_tot	0.00	μB/f.u.
distance to the lowest polymorph of the same formula	646	meV/atom
space group	P4/nmm, No. 129

(25)
Below is a relaxed DyErSe2Br2 crystal, with properties calculated at the PBE level.

Lattice parameters (Å, degrees): 4.0813 5.6029 8.4912 90.00 90.00 90.00
Element x y z (fractional)
1 Dy 0.0000 0.0000 0.0000
2 Er 0.5000 0.5000 0.7253
3 Se 0.0000 0.5000 0.9597
4 Se 0.5000 0.0000 0.7620
5 Br 0.0000 0.5000 0.5000
6 Br 0.5000 0.0000 0.2289

Computed properties:
VASP energy	-5.134	eV/atom
M_tot	0.01	μB/f.u.
space group	Pmm2, No. 25